(1)
# Fe4NiC PBE optimized geometry
data_Fe4NiC
_symmetry_space_group_name_H-M 'P m n a'
_symmetry_Int_Tables_number 53
_cell_length_a 4.696
_cell_length_b 4.835
_cell_length_c 5.927
_cell_angle_alpha 90.00
_cell_angle_beta 90.00
_cell_angle_gamma 90.00
loop_
_symmetry_equiv_pos_as_xyz
'x,y,z'
'-x,-y,-z'
'-x+1/2,-y,z+1/2'
'x+1/2,y,-z+1/2'
'x,-y,-z'
'-x,y,z'
'-x+1/2,y,-z+1/2'
'x+1/2,-y,z+1/2'
loop_
_atom_site_label
_atom_site_type_symbol
_atom_site_fract_x
_atom_site_fract_y
_atom_site_fract_z
Fe1 Fe 0.000 0.165 0.137
Fe2 Fe 0.250 0.347 0.750
Ni1 Ni 0.000 0.000 0.500
C1 C 0.000 0.500 0.000
# Calculated density (g/cm³): 7.3
# V (Å³/atom): 11.22
# Formation energy from the elements (eV per atom): 0.24
# Magnetization (μB per cell): 18.27
# DFT total energy (eV/atom): -7.90

***

(2)
# PmCdNi2 PBE optimized geometry
data_PmCdNi2
_symmetry_space_group_name_H-M 'P 4/m m m'
_symmetry_Int_Tables_number 123
_symmetry_space_group_name_Hall '-P 4 2'
_cell_length_a 3.376
_cell_length_b 3.376
_cell_length_c 6.358
_cell_angle_alpha 90.00
_cell_angle_beta 90.00
_cell_angle_gamma 90.00
loop_
_atom_site_label
_atom_site_type_symbol
_atom_site_fract_x
_atom_site_fract_y
_atom_site_fract_z
Pm1 Pm 0.000 0.000 0.000
Cd1 Cd 0.000 0.000 0.500
Ni1 Ni 0.500 0.500 0.286
# Calculated density (g/cm³): 8.6
# V (Å³/atom): 18.11
# Formation energy from the elements (eV per atom): -0.09
# Distance to the lowest polymorph of the same formula (meV per atom): 246.0
# Magnetization (μB per cell): 0.00
# DFT total energy (eV/atom): -4.40

***

(3)
# PmSm3Bi PBE optimized geometry
data_PmSm3Bi
_symmetry_space_group_name_H-M 'C m m m'
_symmetry_Int_Tables_number 65
_symmetry_space_group_name_Hall '-C 2 2'
_cell_length_a 8.258
_cell_length_b 15.605
_cell_length_c 5.385
_cell_angle_alpha 90.00
_cell_angle_beta 90.00
_cell_angle_gamma 90.00
loop_
_atom_site_label
_atom_site_type_symbol
_atom_site_fract_x
_atom_site_fract_y
_atom_site_fract_z
Pm1 Pm 0.000 0.092 0.000
Sm1 Sm 0.000 0.154 0.500
Sm2 Sm 0.175 0.500 0.000
Sm3 Sm 0.250 0.250 0.000
Bi1 Bi 0.000 0.364 0.500
# Calculated density (g/cm³): 7.7
# V (Å³/atom): 34.70
# Formation energy from the elements (eV per atom): 0.26
# Magnetization (μB per cell): 0.00
# DFT total energy (eV/atom): -4.29